{"formula": "V7O3", "functional": "PBE with a Hubbard U", "state": "optimized geometry", "e_above_lowest_polymorph_mev_per_atom": 0.0, "sg": "No. 12", "lattice": [[5.102, -1.556, 0.000], [5.102, 1.556, 0.000], [-0.364, 0.000, 8.853]], "species": ["V", "V", "V", "V", "V", "V", "V", "O", "O", "O"], "fractional_positions": [[0.000, 0.000, 0.000], [0.138, 0.138, 0.581], [0.296, 0.296, 0.129], [0.424, 0.424, 0.732], [0.576, 0.576, 0.268], [0.704, 0.704, 0.871], [0.862, 0.862, 0.419], [0.218, 0.218, 0.354], [0.500, 0.500, 0.500], [0.782, 0.782, 0.646]]}